Computed, not measured: a PBEsol-optimized structure of Tl5In3 at the meta-GGA SCAN level of DFT.

Computed properties:
V: 221 Å³/f.u.
Excess energy over the best structure of this formula in the dataset: 2.5 meV per atom
E_form: 0.5 eV/f.u.
Magnetic moment: 0.0 μB per formula unit
Space group: No. 140

Cell and atoms, written as POSCAR:
```
Tl5In3
1.0
-6.060 6.060 3.008
6.060 -6.060 3.008
6.060 6.060 -3.008
Tl In
10 6
Cartesian
9.346 0.868 0.000
0.868 2.774 0.000
6.060 0.000 1.504
6.928 3.286 0.000
3.286 5.192 0.000
2.774 0.868 3.008
-0.868 2.774 3.008
0.000 6.060 1.504
5.192 3.286 3.008
-3.286 5.192 3.008
3.959 2.101 0.000
0.000 0.000 1.504
3.959 -2.101 3.008
2.101 8.160 0.000
0.000 0.000 4.512
2.101 3.959 3.008
```

Computed, not measured: a PBEsol-optimized structure of Tl2In at the meta-GGA SCAN level of DFT.

Computed properties:
V: 85 Å³/f.u.
E_form: 0.1 eV/f.u.
Magnetic moment: 0.0 μB per formula unit
Space group: No. 140

Cell and atoms, written as POSCAR:
```
Tl2In
1.0
-3.793 3.793 2.941
3.793 -3.793 2.941
3.793 3.793 -2.941
Tl In
4 2
Cartesian
4.922 1.129 0.000
1.129 2.664 0.000
2.664 1.129 2.941
-1.129 2.664 2.941
0.000 0.000 1.471
0.000 0.000 4.412
```

Computed, not measured: a PBEsol-optimized structure of TlIn2W at the meta-GGA SCAN level of DFT.

Computed properties:
V: 82 Å³/f.u.
Excess energy over the best structure of this formula in the dataset: 46.1 meV per atom
E_form: 2.8 eV/f.u.
Magnetic moment: 0.0 μB per formula unit
Space group: No. 47

Cell and atoms, written as POSCAR:
```
TlIn2W
1.0
3.005 0.000 0.000
0.000 4.669 0.000
0.000 0.000 5.856
Tl In W
1 2 1
Cartesian
0.000 0.000 0.000
1.503 2.334 1.545
1.503 2.334 4.311
0.000 0.000 2.928
```

Computed, not measured: a PBEsol-optimized structure of TlIn2W at the meta-GGA SCAN level of DFT.

Computed properties:
V: 88 Å³/f.u.
Excess energy over the best structure of this formula in the dataset: 0.0 meV per atom
E_form: 2.6 eV/f.u.
Magnetic moment: 0.0 μB per formula unit
Space group: No. 35

Cell and atoms, written as POSCAR:
```
TlIn2W
1.0
1.664 -2.448 0.000
1.664 2.448 0.000
0.000 0.000 10.751
Tl In W
1 2 1
Cartesian
0.000 0.000 0.000
0.000 0.000 4.802
1.664 0.000 7.653
1.664 0.000 2.492
```

Computed, not measured: a PBEsol-optimized structure of TlIn2W at the meta-GGA SCAN level of DFT.

Computed properties:
V: 82 Å³/f.u.
Excess energy over the best structure of this formula in the dataset: 49.7 meV per atom
E_form: 2.8 eV/f.u.
Magnetic moment: 0.0 μB per formula unit
Space group: No. 25

Cell and atoms, written as POSCAR:
```
TlIn2W
1.0
2.989 0.000 0.000
0.000 5.143 0.000
0.000 0.000 5.312
Tl In W
1 2 1
Cartesian
0.000 0.000 0.000
1.494 0.000 2.580
1.494 2.571 4.386
0.000 2.571 1.745
```

Computed, not measured: a PBEsol-optimized structure of YTlIn at the meta-GGA SCAN level of DFT.

Computed properties:
V: 89 Å³/f.u.
Excess energy over the best structure of this formula in the dataset: 286.9 meV per atom
E_form: -0.6 eV/f.u.
Magnetic moment: 0.0 μB per formula unit
Space group: No. 216

Cell and atoms, written as POSCAR:
```
YTlIn
1.0
0.000 3.541 3.541
3.541 0.000 3.541
3.541 3.541 0.000
Y Tl In
1 1 1
Cartesian
0.000 0.000 0.000
5.312 5.312 5.312
1.771 1.771 1.771
```

Computed, not measured: a PBEsol-optimized structure of YTlIn at the meta-GGA SCAN level of DFT.

Computed properties:
V: 76 Å³/f.u.
Excess energy over the best structure of this formula in the dataset: 0.0 meV per atom
E_form: -1.5 eV/f.u.
Magnetic moment: 0.0 μB per formula unit
Space group: No. 156

Cell and atoms, written as POSCAR:
```
YTlIn
1.0
4.881 0.000 0.000
-2.440 4.227 0.000
0.000 0.000 3.670
Y Tl In
1 1 1
Cartesian
0.000 0.000 0.000
2.440 1.409 2.316
0.000 2.818 1.495
```

Computed, not measured: a PBEsol-optimized structure of TlZnIn at the meta-GGA SCAN level of DFT.

Computed properties:
V: 69 Å³/f.u.
E_form: 0.5 eV/f.u.
Magnetic moment: 0.0 μB per formula unit
Space group: No. 107

Cell and atoms, written as POSCAR:
```
TlZnIn
1.0
-1.709 1.709 5.880
1.709 -1.709 5.880
1.709 1.709 -5.880
Tl Zn In
1 1 1
Cartesian
0.000 0.000 0.000
0.000 0.000 7.774
0.000 0.000 3.553
```